[1]
Here is a relaxed Sc2AlSe4 crystal from Alexandria. Energies are from PBE.

Lattice parameters (Å, degrees): 3.793 6.649 7.232 117.47 105.20 90.00
Fractional coordinates of all 7 atoms:
Sc 0.740 0.759 0.481
Sc 0.260 0.241 0.519
Al 0.000 0.000 0.000
Se 0.887 0.213 0.774
Se 0.113 0.787 0.226
Se 0.623 0.285 0.245
Se 0.377 0.715 0.755

Values from the calculation:
**Density**: 4.65 g cm⁻³
**Density of states at the Fermi level**: 3.236 states/eV per cell
**M_tot**: 0.0 μB per formula unit
**Total DFT energy (no corrections)**: -39.66 eV/f.u.

---

[2]
Here is a relaxed Pm2GaSi3 crystal from Alexandria. Energies are from PBE.

Lattice parameters (Å, degrees): 5.967 5.967 8.196 112.13 112.13 88.00
Fractional coordinates of all 12 atoms:
Pm 0.750 0.250 0.500
Pm 0.755 0.245 0.000
Pm 0.250 0.750 0.500
Pm 0.245 0.755 0.000
Ga 0.664 0.664 0.329
Ga 0.336 0.336 0.671
Si 0.837 0.837 0.169
Si 0.668 0.668 0.831
Si 0.163 0.163 0.831
Si 0.332 0.332 0.169
Si 0.163 0.163 0.326
Si 0.837 0.837 0.674

Values from the calculation:
**Density**: 5.94 g cm⁻³
**E above lowest polymorph**: 4 meV/atom
**Density of states at the Fermi level**: 5.191 states/eV per cell
**M_tot**: 0.0 μB per formula unit
**Total DFT energy (no corrections)**: -32.50 eV/f.u.

---

[3]
Here is a relaxed Ti4Nb5In2 crystal from Alexandria. Energies are from PBE.

Lattice parameters (Å, degrees): 3.440 5.488 12.564 88.36 114.27 71.73
Fractional coordinates of all 11 atoms:
Ti 0.974 0.319 0.089
Ti 0.352 0.430 0.378
Ti 0.026 0.681 0.911
Ti 0.648 0.570 0.622
Nb 0.240 0.174 0.551
Nb 0.128 0.916 0.724
Nb 0.872 0.084 0.276
Nb 0.760 0.826 0.449
Nb 0.500 0.000 0.000
In 0.570 0.307 0.816
In 0.430 0.693 0.184

Values from the calculation:
**Density**: 7.28 g cm⁻³
**Density of states at the Fermi level**: 12.497 states/eV per cell
**Energy of formation from the pure elements**: -0.5 eV per formula unit
**M_tot**: 0.0 μB per formula unit
**Total DFT energy (no corrections)**: -87.90 eV/f.u.

---

[4]
Here is a relaxed CaTe2Mo crystal from Alexandria. Energies are from PBE.

Lattice parameters (Å, degrees): 6.405 6.405 8.242 67.14 67.14 90.00
Fractional coordinates of all 8 atoms:
Mo 0.000 0.000 0.000
Mo 0.750 0.250 0.500
Te 0.686 0.125 0.250
Te 0.064 0.625 0.250
Te 0.375 0.314 0.750
Te 0.875 0.936 0.750
Ca 0.500 0.500 0.000
Ca 0.250 0.750 0.500

Values from the calculation:
**Density**: 4.60 g cm⁻³
**E above lowest polymorph**: 319 meV/atom
**Density of states at the Fermi level**: 6.957 states/eV per cell
**M_tot**: 0.0 μB per formula unit
**Total DFT energy (no corrections)**: -19.57 eV/f.u.

---

[5]
Here is a relaxed TaAgPt2 crystal from Alexandria. Energies are from PBE.

Lattice parameters (Å, degrees): 4.089 4.087 3.951 90.00 90.00 90.00
Fractional coordinates of all 4 atoms:
Ag 0.000 0.500 0.500
Pt 0.000 0.000 0.000
Pt 0.500 0.500 0.000
Ta 0.500 0.000 0.500

Values from the calculation:
**Density**: 17.08 g cm⁻³
**Density of states at the Fermi level**: 5.998 states/eV per cell
**Energy of formation from the pure elements**: -0.5 eV per formula unit
**M_tot**: 0.0 μB per formula unit
**Total DFT energy (no corrections)**: -27.27 eV/f.u.

---

[6]
Here is a relaxed La2Cu6P3 crystal from Alexandria. Energies are from PBE.

Lattice parameters (Å, degrees): 3.998 7.257 7.257 120.00 90.00 90.00
Fractional coordinates of all 11 atoms:
La 0.000 0.667 0.333
La 0.000 0.333 0.667
Cu 0.500 0.717 0.717
Cu 0.500 0.000 0.283
Cu 0.000 0.195 0.195
Cu 0.000 0.805 0.000
Cu 0.500 0.283 0.000
Cu 0.000 0.000 0.805
P 0.500 0.365 0.365
P 0.500 0.635 0.000
P 0.500 0.000 0.635

Values from the calculation:
**Density**: 6.85 g cm⁻³
**Density of states at the Fermi level**: 5.003 states/eV per cell
**Energy of formation from the pure elements**: -6.5 eV per formula unit
**M_tot**: 0.0 μB per formula unit
**Total DFT energy (no corrections)**: -57.20 eV/f.u.

---

[7]
Here is a relaxed CaSc2P crystal from Alexandria. Energies are from PBE.

Lattice parameters (Å, degrees): 6.186 6.186 5.105 65.61 65.61 32.62
Fractional coordinates of all 4 atoms:
Ca 0.750 0.750 0.750
P 0.250 0.250 0.250
Sc 0.937 0.937 0.063
Sc 0.563 0.563 0.437

Values from the calculation:
**Density**: 2.81 g cm⁻³
**Density of states at the Fermi level**: 4.156 states/eV per cell
**Energy of formation from the pure elements**: -2.3 eV per formula unit
**M_tot**: 0.0 μB per formula unit
**Total DFT energy (no corrections)**: -22.33 eV/f.u.

---

[8]
Here is a relaxed Ce2PaSeO4 crystal from Alexandria. Energies are from PBE.

Lattice parameters (Å, degrees): 3.892 3.892 8.997 90.00 90.00 90.00
Fractional coordinates of all 8 atoms:
Ce 0.500 0.500 0.295
Ce 0.500 0.500 0.705
Pa 0.000 0.000 0.000
Se 0.000 0.000 0.500
O 0.000 0.500 0.149
O 0.500 0.000 0.851
O 0.500 0.000 0.149
O 0.000 0.500 0.851

Values from the calculation:
**Density**: 7.97 g cm⁻³
**Density of states at the Fermi level**: 12.375 states/eV per cell
**M_tot**: 3.0 μB per formula unit
**Total DFT energy (no corrections)**: -70.08 eV/f.u.